Material: Na3ZrGa
Method: DFT, PBE
State: optimized geometry

Calculated values
- E above lowest polymorph (meV per atom) = 394
- M_tot (Bohr magnetons per cell) = 3.86
- crystal system = cubic
- electronic total energy (eV per atom) = -1.827
- formation energy from the elements (eV/f.u.) = 6.40

```
data_Na3ZrGa
_cell_length_a 6.0300
_cell_length_b 6.0300
_cell_length_c 6.0300
_cell_angle_alpha 90.00
_cell_angle_beta 90.00
_cell_angle_gamma 90.00
_space_group_name_H-M_alt 'P m -3 m'
_space_group_IT_number 221
_space_group_name_Hall '-P 4 2 3'
loop_
_atom_site_label
_atom_site_type_symbol
_atom_site_fract_x
_atom_site_fract_y
_atom_site_fract_z
Na1 Na 0.0000 0.0000 0.5000
Zr1 Zr 0.0000 0.0000 0.0000
Ga1 Ga 0.5000 0.5000 0.5000
```